Here is crystalline UTlBi2 at its relaxed geometry from Alexandria. Energies are from PBE.

Cell lengths 4.358, 5.114, 5.114 Å; angles 90.00, 90.00, 90.00 degrees
Last column: magnetic moment on the atom in μB.
Atoms (fractional coordinates):
U 0.500 0.000 0.000  2.44
Tl 0.500 0.500 0.500  0.00
Bi 0.000 0.500 0.000  -0.06
Bi 0.000 0.000 0.500  -0.06

Calculated values
Distance to the lowest polymorph of the same formula, meV per atom: 34.8
E, eV/atom: -5.282
Energy of formation, eV per atom: 0.07